Entry 1:
# CsRbTe2N

A relaxed structure of CsRbTe2N (PBE-GGA, the Alexandria database).

Lattice parameters (Å, degrees): 7.185 7.185 4.991 90.00 90.00 90.00
Element x y z (fractional)
1 Cs 0.000 0.000 0.000
2 Rb 0.500 0.500 0.500
3 Te 0.000 0.500 0.000
4 Te 0.500 0.000 0.000
5 N 0.000 0.000 0.500

Values from the calculation:
volume = 257.6 Å³/f.u.
final energy = -2.38 eV/atom

=====

Entry 2:
# CsRbUN3

A relaxed structure of CsRbUN3 (PBE-GGA, the Alexandria database).

Lattice parameters (Å, degrees): 7.817 7.817 6.131 92.66 92.66 127.97
Element x y z (fractional)
1 Cs 0.249 0.751 0.750
2 Cs 0.751 0.249 0.250
3 Rb 0.088 0.912 0.250
4 Rb 0.912 0.088 0.750
5 U 0.444 0.556 0.250
6 U 0.556 0.444 0.750
7 N 0.283 0.355 0.479
8 N 0.305 0.695 0.250
9 N 0.355 0.283 0.979
10 N 0.645 0.717 0.021
11 N 0.695 0.305 0.750
12 N 0.717 0.645 0.521

Values from the calculation:
volume = 146.8 Å³/f.u.
final energy = -6.81 eV/atom

=====

Entry 3:
# CsRbU4N8

A relaxed structure of CsRbU4N8 (PBE-GGA, the Alexandria database).

Lattice parameters (Å, degrees): 8.296 8.296 8.296 50.04 50.04 50.04
Element x y z (fractional)
1 Cs 0.000 0.000 0.000
2 Rb 0.348 0.348 0.348
3 U 0.345 0.345 0.842
4 U 0.345 0.842 0.345
5 U 0.834 0.834 0.834
6 U 0.842 0.345 0.345
7 N 0.048 0.048 0.557
8 N 0.048 0.557 0.048
9 N 0.136 0.136 0.136
10 N 0.140 0.626 0.626
11 N 0.552 0.552 0.552
12 N 0.557 0.048 0.048
13 N 0.626 0.140 0.626
14 N 0.626 0.626 0.140

Values from the calculation:
volume = 308.7 Å³/f.u.
final energy = -9.20 eV/atom

=====

Entry 4:
# CsRbWN3

A relaxed structure of CsRbWN3 (PBE-GGA, the Alexandria database).

Lattice parameters (Å, degrees): 6.059 6.641 7.027 68.85 82.83 85.83
Element x y z (fractional)
1 Cs 0.241 0.188 0.022
2 Cs 0.759 0.812 0.978
3 Rb 0.265 0.531 0.314
4 Rb 0.735 0.469 0.686
5 W 0.288 0.915 0.599
6 W 0.712 0.085 0.401
7 N 0.013 0.117 0.495
8 N 0.284 0.720 0.854
9 N 0.481 0.151 0.588
10 N 0.519 0.849 0.412
11 N 0.716 0.280 0.146
12 N 0.987 0.883 0.505

Values from the calculation:
volume = 130.8 Å³/f.u.
final energy = -6.90 eV/atom

=====

Entry 5:
# CsReN2

A relaxed structure of CsReN2 (PBE-GGA, the Alexandria database).

Lattice parameters (Å, degrees): 6.138 6.138 8.758 90.00 90.00 90.00
Element x y z (fractional)
1 Cs 0.000 0.250 0.375
2 Cs 0.000 0.750 0.625
3 Cs 0.500 0.250 0.125
4 Cs 0.500 0.750 0.875
5 Re 0.000 0.250 0.875
6 Re 0.000 0.750 0.125
7 Re 0.500 0.250 0.625
8 Re 0.500 0.750 0.375
9 N 0.000 0.000 0.000
10 N 0.000 0.500 0.000
11 N 0.250 0.250 0.750
12 N 0.250 0.750 0.250
13 N 0.500 0.000 0.500
14 N 0.500 0.500 0.500
15 N 0.750 0.250 0.750
16 N 0.750 0.750 0.250

Values from the calculation:
volume = 82.5 Å³/f.u.
ΔE to the lowest computed polymorph = 0.0 kJ per mole of atoms
final energy = -7.71 eV/atom

=====

Entry 6:
# CsReN2

A relaxed structure of CsReN2 (PBE-GGA, the Alexandria database).

Lattice parameters (Å, degrees): 8.454 6.250 12.423 90.00 90.00 90.00
Element x y z (fractional)
1 Cs 0.124 0.172 0.250
2 Cs 0.124 0.328 0.750
3 Cs 0.373 0.250 0.000
4 Cs 0.373 0.250 0.500
5 Cs 0.627 0.750 0.000
6 Cs 0.627 0.750 0.500
7 Cs 0.876 0.672 0.250
8 Cs 0.876 0.828 0.750
9 Re 0.125 0.750 0.000
10 Re 0.125 0.750 0.500
11 Re 0.376 0.704 0.250
12 Re 0.376 0.796 0.750
13 Re 0.624 0.204 0.250
14 Re 0.624 0.296 0.750
15 Re 0.875 0.250 0.000
16 Re 0.875 0.250 0.500
17 N 0.000 0.000 0.000
18 N 0.000 0.000 0.500
19 N 0.000 0.500 0.000
20 N 0.000 0.500 0.500
21 N 0.252 0.732 0.125
22 N 0.252 0.732 0.375
23 N 0.252 0.768 0.625
24 N 0.252 0.768 0.875
25 N 0.482 0.062 0.750
26 N 0.482 0.438 0.250
27 N 0.518 0.562 0.750
28 N 0.518 0.938 0.250
29 N 0.748 0.232 0.125
30 N 0.748 0.232 0.375
31 N 0.748 0.268 0.625
32 N 0.748 0.268 0.875

Values from the calculation:
volume = 82.1 Å³/f.u.
ΔE to the lowest computed polymorph = 0.5 kJ per mole of atoms
final energy = -7.70 eV/atom

=====

Q: Look up the volume of the fifth one.
A: 82.5 Å³/f.u.

=====

Q: What is the final energy in the sixth record?
A: -7.70 eV/atom

=====

Q: The lowest volume belongs to which entry?
A: number 6